First-principles (GGA-PBE) data for AcHgH2F8 after structural relaxation, as listed in Alexandria.

a = 4.431 Å, b = 4.450 Å, c = 8.906 Å
α = 89.96°, β = 88.64°, γ = 65.60°
Space group P-1 (No. 2)
Inequivalent atoms, fractional coordinates:
Ac 0.000 0.000 0.000
Hg 0.000 0.000 0.500
H 0.500 0.496 0.737
F 0.251 0.752 0.261
F 0.270 0.724 0.742
F 0.280 0.279 0.500
F 0.329 0.328 0.004

First-principles (GGA-PBE) data for LiAcH2F8 after structural relaxation, as listed in Alexandria.

a = 4.535 Å, b = 4.555 Å, c = 7.801 Å
α = 87.66°, β = 89.08°, γ = 61.23°
Space group P-1 (No. 2)
Inequivalent atoms, fractional coordinates:
Li 0.000 0.000 0.000
Ac 0.000 0.000 0.500
H 0.485 0.500 0.200
F 0.212 0.695 0.202
F 0.230 0.700 0.806
F 0.336 0.320 0.515
F 0.362 0.158 0.966

First-principles (GGA-PBE) data for Li2AcHF8 after structural relaxation, as listed in Alexandria.

a = 10.873 Å, b = 4.075 Å, c = 7.057 Å
α = 90.00°, β = 113.92°, γ = 90.00°
Space group C2/m (No. 12)
Inequivalent atoms, fractional coordinates:
Li 0.224 0.000 0.138
Ac 0.000 0.000 0.500
H 0.000 0.500 0.000
F 0.066 0.257 0.181
F 0.141 0.500 0.584
F 0.192 0.000 0.855

Final energy list, top to bottom, in eV per atom: -4.425, -4.696, -4.591
Fermi-level density of states list, top to bottom, in states/eV/f.u.: 4.22, 0.51, 5.63
Size of the total moment list, top to bottom, in μB per atom: 0.0824, 0.0037, 0.0320